# 1
## YGa2Cu9 (GGA-PBE)

Data for a relaxed YGa2Cu9 crystal.

Lattice parameters (Å, degrees): 4.9791 4.9791 23.8678 90.00 90.00 120.00
Space group R-3m (No. 166, hexagonal axes)
Unique sites:
Y (0.0000, 0.0000, 0.0000) [3 per cell]
Ga (0.0000, 0.0000, 0.1418) [6 per cell]
Cu (0.0000, 0.0000, 0.3339) [6 per cell]
Cu (0.0000, 0.0000, 0.5000) [3 per cell]
Cu (0.0056, 0.5028, 0.9138) [18 per cell]

Computed properties:
- calculated volume (Å³ per cell) = 512.4
- ΔE to the lowest computed polymorph (eV per atom) = 0.044
- ΔE_f (eV/atom) = -0.118
- final energy (eV for the cell shown) = -152.41
- total magnetization (Bohr magnetons per cell) = 0.00

# 2
## Y2Ga6Cu (GGA-PBE)

Data for a relaxed Y2Ga6Cu crystal.

Lattice parameters (Å, degrees): 3.745 4.193 23.090 90.00 90.00 90.00
Space group Amm2 (No. 38)
Unique sites:
Y (0.000, 0.000, 0.000) [2 per cell]
Y (0.000, 0.000, 0.334) [2 per cell]
Ga (0.000, 0.000, 0.624) [2 per cell]
Ga (0.000, 0.000, 0.737) [2 per cell]
Ga (0.500, 0.000, 0.112) [2 per cell]
Ga (0.500, 0.000, 0.223) [2 per cell]
Ga (0.500, 0.000, 0.445) [2 per cell]
Ga (0.500, 0.000, 0.882) [2 per cell]
Cu (0.500, 0.000, 0.550) [2 per cell]

Computed properties:
- calculated volume (Å³ per cell) = 362.5
- ΔE_f (eV/atom) = -0.366
- final energy (eV for the cell shown) = -76.96
- total magnetization (Bohr magnetons per cell) = 0.00

# 3
## YGa3Cu8 (GGA-PBE)

Data for a relaxed YGa3Cu8 crystal.

Lattice parameters (Å, degrees): 4.9403 4.9403 8.2335 90.00 90.00 120.00
Space group P3m1 (No. 156)
Unique sites:
Y (0.0000, 0.0000, 0.0000) [1 per cell]
Ga (0.0000, 0.0000, 0.3785) [1 per cell]
Ga (0.6667, 0.3333, 0.4903) [1 per cell]
Ga (0.6667, 0.3333, 0.8478) [1 per cell]
Cu (0.1644, 0.3289, 0.6751) [3 per cell]
Cu (0.3333, 0.6667, 0.4332) [1 per cell]
Cu (0.3333, 0.6667, 0.9266) [1 per cell]
Cu (0.5022, 0.0044, 0.1931) [3 per cell]

Computed properties:
- calculated volume (Å³ per cell) = 174.0
- ΔE_f (eV/atom) = -0.117
- final energy (eV for the cell shown) = -49.72
- total magnetization (Bohr magnetons per cell) = 0.00

> ΔE_f of number 1 (YGa2Cu9)?

-0.118 eV/atom

What did the third record say?
## YGa3Cu8 (GGA-PBE)

Data for a relaxed YGa3Cu8 crystal.

Lattice parameters (Å, degrees): 4.9403 4.9403 8.2335 90.00 90.00 120.00
Space group P3m1 (No. 156)
Unique sites:
Y (0.0000, 0.0000, 0.0000) [1 per cell]
Ga (0.0000, 0.0000, 0.3785) [1 per cell]
Ga (0.6667, 0.3333, 0.4903) [1 per cell]
Ga (0.6667, 0.3333, 0.8478) [1 per cell]
Cu (0.1644, 0.3289, 0.6751) [3 per cell]
Cu (0.3333, 0.6667, 0.4332) [1 per cell]
Cu (0.3333, 0.6667, 0.9266) [1 per cell]
Cu (0.5022, 0.0044, 0.1931) [3 per cell]

Computed properties:
- calculated volume (Å³ per cell) = 174.0
- ΔE_f (eV/atom) = -0.117
- final energy (eV for the cell shown) = -49.72
- total magnetization (Bohr magnetons per cell) = 0.00

> The highest ΔE_f belongs to which entry?

YGa3Cu8